Density functional theory data (PBEsol) for an optimized crystal structure of KNb2Te2.

a b c (Å): 8.663 8.663 8.663
angles (deg): 153.09 153.09 38.43
Fractional positions:
K1 0.000 0.000 0.000
Nb1 0.250 0.750 0.500
Nb2 0.750 0.250 0.500
Te1 0.371 0.371 0.000
Te2 0.629 0.629 0.000

Computed properties:
Density (Mg/m³): 6.00
Calculated total energy (eV/atom): -6.480
Raw formation energy (eV per atom): -0.5145
Total magnetization (μB/f.u.): 0.00